(w)
An optimized crystal structure of YCrW2. Source: Alexandria, functional GGA-PBE.

Unit cell a=9.726 b=3.200 c=5.244 alpha=90.00 beta=109.73 gamma=90.00
Space group Cm (No. 8)
Asymmetric unit:
Y 0.000 0.000 0.000 (multiplicity 2)
Cr 0.275 0.500 0.343 (multiplicity 2)
W 0.216 0.000 0.649 (multiplicity 2)
W 0.486 0.000 0.487 (multiplicity 2)

=====

(x)
An optimized crystal structure of YCrW2. Source: Alexandria, functional GGA-PBE.

Unit cell a=5.501 b=9.520 c=2.791 alpha=90.00 beta=108.84 gamma=90.00
Space group C2/m (No. 12)
Asymmetric unit:
Y 0.000 0.000 0.000 (multiplicity 2)
Cr 0.000 0.500 0.000 (multiplicity 2)
W 0.250 0.250 0.500 (multiplicity 4)

=====

Of all the structures shown, which is most stable? (w), and (x) is the least stable.